[1]
Density functional theory data (PBE) for NaAcTbTe3 after structural relaxation.

Calculated values
As for the space-group type: P2_1/m, No. 11. For the total energy, the calculation gives -4.496 eV per atom. The crystal system is monoclinic. Its total magnetization is 0.0 μB per formula unit. As for the formation energy (no corrections): -1249 meV/atom.

a b c (Å): 8.9782 4.5438 10.1276
angles (deg): 90.00 106.58 90.00
Last column: nearest neighbours and their distance in Å.
Positions (direct):
Na  0.0962  0.2500  0.0888  4 Te 2.96-3.13, 2 Na 3.10
Na  0.9038  0.7500  0.9112  4 Te 2.96-3.13, 2 Na 3.10
Ac  0.2070  0.2500  0.7380  7 Te 3.33-3.47
Ac  0.7930  0.7500  0.2620  7 Te 3.33-3.47
Tb  0.3288  0.7500  0.3473  6 Te 3.08-3.33
Tb  0.6712  0.2500  0.6527  6 Te 3.08-3.33
Te  0.0940  0.2500  0.3810  1 Na 2.96, 2 Tb 3.18
Te  0.2674  0.7500  0.0069  3 Na 2.99-3.13, 1 Tb 3.33
Te  0.4438  0.7500  0.6660  3 Tb 3.08-3.10, 2 Ac 3.33
Te  0.5562  0.2500  0.3340  3 Tb 3.08-3.10, 2 Ac 3.33
Te  0.7326  0.2500  0.9931  3 Na 2.99-3.13, 1 Tb 3.33
Te  0.9060  0.7500  0.6190  1 Na 2.96, 2 Tb 3.18

[2]
Density functional theory data (PBE) for Na3AcTb2Te6 after structural relaxation.

Calculated values
As for the space-group type: C2/m, No. 12. For the total energy, the calculation gives -4.353 eV per atom. The crystal system is monoclinic. Its total magnetization is 0.0 μB per formula unit. As for the formation energy (no corrections): -1338 meV/atom.

a b c (Å): 7.8962 7.8962 8.0190
angles (deg): 99.51 99.51 120.04
Last column: nearest neighbours and their distance in Å.
Positions (direct):
Na  0.0000  0.0000  0.0000  6 Te 3.19-3.35
Na  0.3378  0.6622  0.0000  6 Te 3.23-3.36
Na  0.6622  0.3378  0.0000  6 Te 3.23-3.36
Ac  0.5000  0.5000  0.5000  6 Te 3.30-3.31
Tb  0.1675  0.8325  0.5000  6 Te 3.13-3.14
Tb  0.8325  0.1675  0.5000  6 Te 3.13-3.14
Te  0.0694  0.4201  0.2625  2 Tb 3.13, 3 Na 3.23-3.36, 1 Ac 3.30
Te  0.2285  0.2285  0.7378  2 Tb 3.14, 3 Na 3.19-3.31, 1 Ac 3.31
Te  0.4201  0.0694  0.2625  2 Tb 3.13, 3 Na 3.23-3.36, 1 Ac 3.30
Te  0.5799  0.9306  0.7375  2 Tb 3.13, 3 Na 3.23-3.36, 1 Ac 3.30
Te  0.7715  0.7715  0.2622  2 Tb 3.14, 3 Na 3.19-3.31, 1 Ac 3.31
Te  0.9306  0.5799  0.7375  2 Tb 3.13, 3 Na 3.23-3.36, 1 Ac 3.30

[3]
Density functional theory data (PBE) for Na3Ac2TbTe6 after structural relaxation.

Calculated values
As for the space-group type: C2/m, No. 12. For the total energy, the calculation gives -4.331 eV per atom. The crystal system is monoclinic. Its total magnetization is 0.0 μB per formula unit. As for the formation energy (no corrections): -1360 meV/atom.

a b c (Å): 10.3939 10.3939 9.3102
angles (deg): 102.46 102.46 25.95
Last column: nearest neighbours and their distance in Å.
Positions (direct):
Na  0.0000  0.0000  0.0000  6 Te 3.28-3.43
Na  0.3328  0.3328  0.6672  6 Te 3.26-3.43
Na  0.6672  0.6672  0.3328  6 Te 3.26-3.43
Ac  0.3358  0.3358  0.1722  6 Te 3.29-3.35
Ac  0.6642  0.6642  0.8278  6 Te 3.29-3.35
Tb  0.0000  0.0000  0.5000  6 Te 3.14-3.17
Te  0.1591  0.1591  0.5738  1 Tb 3.14, 3 Na 3.27-3.43, 2 Ac 3.31
Te  0.1662  0.1662  0.0837  3 Na 3.28-3.29, 3 Ac 3.33-3.35
Te  0.4977  0.4977  0.7287  2 Tb 3.17, 3 Na 3.26-3.43, 1 Ac 3.29
Te  0.5023  0.5023  0.2713  2 Tb 3.17, 3 Na 3.26-3.43, 1 Ac 3.29
Te  0.8338  0.8338  0.9163  3 Na 3.28-3.29, 3 Ac 3.33-3.35
Te  0.8409  0.8409  0.4262  1 Tb 3.14, 3 Na 3.27-3.43, 2 Ac 3.31

[4]
Density functional theory data (PBE) for Na4Ac3TbTe8 after structural relaxation.

Calculated values
As for the space-group type: R-3m, No. 166. For the total energy, the calculation gives -4.327 eV per atom. The crystal system is trigonal. Its total magnetization is 0.0 μB per formula unit. As for the formation energy (no corrections): -1367 meV/atom.

a b c (Å): 9.3086 9.3086 9.3086
angles (deg): 60.65 60.65 60.65
Last column: nearest neighbours and their distance in Å.
Positions (direct):
Na  0.0000  0.0000  0.0000  6 Te 3.45
Na  0.0000  0.5000  0.5000  6 Te 3.29-3.30
Na  0.5000  0.0000  0.5000  6 Te 3.29-3.30
Na  0.5000  0.5000  0.0000  6 Te 3.29-3.30
Ac  0.0000  0.0000  0.5000  6 Te 3.32-3.33
Ac  0.0000  0.5000  0.0000  6 Te 3.32-3.33
Ac  0.5000  0.0000  0.0000  6 Te 3.32-3.33
Tb  0.5000  0.5000  0.5000  6 Te 3.17
Te  0.2507  0.2507  0.2507  3 Na 3.30, 3 Ac 3.32
Te  0.2607  0.2607  0.7368  1 Tb 3.17, 3 Na 3.29-3.45, 2 Ac 3.33
Te  0.2607  0.7368  0.2607  1 Tb 3.17, 3 Na 3.29-3.45, 2 Ac 3.33
Te  0.2632  0.7393  0.7393  1 Tb 3.17, 3 Na 3.29-3.45, 2 Ac 3.33
Te  0.7368  0.2607  0.2607  1 Tb 3.17, 3 Na 3.29-3.45, 2 Ac 3.33
Te  0.7393  0.2632  0.7393  1 Tb 3.17, 3 Na 3.29-3.45, 2 Ac 3.33
Te  0.7393  0.7393  0.2632  1 Tb 3.17, 3 Na 3.29-3.45, 2 Ac 3.33
Te  0.7493  0.7493  0.7493  3 Na 3.30, 3 Ac 3.32

[5]
Density functional theory data (PBE) for NaAc2TbTe5 after structural relaxation.

Calculated values
As for the space-group type: Cmc2_1, No. 36. For the total energy, the calculation gives -4.707 eV per atom. The crystal system is orthorhombic. Its total magnetization is 0.0 μB per formula unit. As for the formation energy (no corrections): -1387 meV/atom.

a b c (Å): 9.8674 9.8674 14.0789
angles (deg): 90.00 90.00 152.88
Last column: nearest neighbours and their distance in Å.
Positions (direct):
Na  0.0346  0.9654  0.5000  3 Te 2.86
Na  0.9654  0.0346  0.0000  3 Te 2.86
Ac  0.3667  0.6333  0.3336  8 Te 3.38-3.62
Ac  0.3964  0.6036  0.7179  8 Te 3.36-3.72
Ac  0.6036  0.3964  0.2179  8 Te 3.36-3.72
Ac  0.6333  0.3667  0.8336  8 Te 3.38-3.62
Tb  0.2987  0.7013  0.0427  6 Te 2.95-3.18
Tb  0.7013  0.2987  0.5427  6 Te 2.95-3.18
Te  0.0066  0.9934  0.8047  1 Na 2.86
Te  0.1364  0.8636  0.0315  1 Tb 3.12, 1 Na 3.31
Te  0.1893  0.8107  0.3886  2 Tb 3.18, 1 Na 3.36, 1 Ac 3.49
Te  0.2212  0.7788  0.6939  2 Tb 3.17, 3 Ac 3.38-3.47
Te  0.4429  0.5571  0.1149  2 Na 2.86, 1 Tb 2.95
Te  0.5571  0.4429  0.6149  2 Na 2.86, 1 Tb 2.95
Te  0.7788  0.2212  0.1939  2 Tb 3.17, 3 Ac 3.38-3.47
Te  0.8107  0.1893  0.8886  2 Tb 3.18, 1 Na 3.36, 1 Ac 3.49
Te  0.8636  0.1364  0.5315  1 Tb 3.12, 1 Na 3.31
Te  0.9934  0.0066  0.3047  1 Na 2.86

[6]
Density functional theory data (PBE) for Na2AcTbTe4 after structural relaxation.

Calculated values
As for the space-group type: P2/m, No. 10. For the total energy, the calculation gives -4.337 eV per atom. The crystal system is monoclinic. Its total magnetization is 0.0 μB per formula unit. As for the formation energy (no corrections): -1344 meV/atom.

a b c (Å): 8.0042 4.6114 8.0261
angles (deg): 90.00 109.36 90.00
Last column: nearest neighbours and their distance in Å.
Positions (direct):
Na  0.0000  0.0000  0.0000  6 Te 3.38-3.40
Na  0.5000  0.5000  0.0000  6 Te 3.24
Ac  0.0000  0.5000  0.5000  6 Te 3.30-3.31
Tb  0.5000  0.0000  0.5000  6 Te 3.14-3.16
Te  0.2647  0.0000  0.7446  1 Tb 3.14, 3 Na 3.24-3.40, 2 Ac 3.30
Te  0.2697  0.5000  0.2644  2 Tb 3.16, 3 Na 3.24-3.38, 1 Ac 3.31
Te  0.7303  0.5000  0.7356  2 Tb 3.16, 3 Na 3.24-3.38, 1 Ac 3.31
Te  0.7353  0.0000  0.2554  1 Tb 3.14, 3 Na 3.24-3.40, 2 Ac 3.30

[7]
Density functional theory data (PBE) for NaAc2Tb3Te6 after structural relaxation.

Calculated values
As for the space-group type: C2/m, No. 12. For the total energy, the calculation gives -4.902 eV per atom. The crystal system is monoclinic. Its total magnetization is 0.0 μB per formula unit. As for the formation energy (no corrections): -1379 meV/atom.

a b c (Å): 10.1941 10.1941 9.1729
angles (deg): 104.51 104.51 25.38
Last column: nearest neighbours and their distance in Å.
Positions (direct):
Na  0.0000  0.0000  0.0000  6 Te 3.23-3.26
Ac  0.3321  0.3321  0.6644  6 Te 3.30-3.35
Ac  0.6679  0.6679  0.3356  6 Te 3.30-3.35
Tb  0.0000  0.0000  0.5000  6 Te 3.07-3.16
Tb  0.3320  0.3320  0.1733  6 Te 3.07-3.16
Tb  0.6680  0.6680  0.8267  6 Te 3.07-3.16
Te  0.1599  0.1599  0.5946  3 Tb 3.07, 3 Ac 3.30-3.32
Te  0.1676  0.1676  0.0643  3 Tb 3.13-3.16, 1 Na 3.23, 2 Ac 3.35
Te  0.4947  0.4947  0.2548  3 Tb 3.13-3.16, 2 Na 3.26, 1 Ac 3.33
Te  0.5053  0.5053  0.7452  3 Tb 3.13-3.16, 2 Na 3.26, 1 Ac 3.33
Te  0.8324  0.8324  0.9357  3 Tb 3.13-3.16, 1 Na 3.23, 2 Ac 3.35
Te  0.8401  0.8401  0.4054  3 Tb 3.07, 3 Ac 3.30-3.32

[8]
Density functional theory data (PBE) for NaAc3Tb2Te6 after structural relaxation.

Calculated values
As for the space-group type: C2/m, No. 12. For the total energy, the calculation gives -4.875 eV per atom. The crystal system is monoclinic. Its total magnetization is 0.0 μB per formula unit. As for the formation energy (no corrections): -1396 meV/atom.

a b c (Å): 10.2402 10.2402 9.1655
angles (deg): 102.45 102.45 25.82
Last column: nearest neighbours and their distance in Å.
Positions (direct):
Na  0.0000  0.0000  0.0000  6 Te 3.16-3.23
Ac  0.0000  0.0000  0.5000  6 Te 3.33
Ac  0.3378  0.3378  0.1692  6 Te 3.32-3.37
Ac  0.6622  0.6622  0.8308  6 Te 3.32-3.37
Tb  0.3314  0.3314  0.6561  6 Te 3.10-3.18
Tb  0.6686  0.6686  0.3439  6 Te 3.10-3.18
Te  0.1656  0.1656  0.1018  2 Tb 3.18, 1 Na 3.23, 3 Ac 3.36-3.37
Te  0.1711  0.1711  0.5739  3 Tb 3.10-3.12, 3 Ac 3.32-3.33
Te  0.4911  0.4911  0.7588  1 Tb 3.12, 2 Na 3.16, 3 Ac 3.33
Te  0.5089  0.5089  0.2412  1 Tb 3.12, 2 Na 3.16, 3 Ac 3.33
Te  0.8289  0.8289  0.4261  3 Tb 3.10-3.12, 3 Ac 3.32-3.33
Te  0.8344  0.8344  0.8982  2 Tb 3.18, 1 Na 3.23, 3 Ac 3.36-3.37